Entry 1:
! SiHgOs2 PBE relaxed; values from VASP
&SYSTEM
  ibrav = 0, nat = 4, ntyp = 3
/
ATOMIC_SPECIES
Hg 200.59 Hg.upf
Os 190.23 Os.upf
Si 28.09 Si.upf
ATOMIC_POSITIONS angstrom
Hg 2.3817 0.8411 1.2622
Os 1.4661 0.5178 4.7506
Os 4.5818 1.6180 2.7885
Si 7.1451 2.5232 3.7867
CELL_PARAMETERS angstrom
4.6054 0.0840 0.0172
3.6368 2.8267 0.0172
1.2845 0.4536 5.0146
! - SG = C2/m
! - E_tot (eV/atom) = -6.65
! - energy above the most stable polymorph in this dataset (meV per atom) = 138.7
! - E_form (uncorrected) (eV/atom) = 0.40



Entry 2:
! NdAl3Ag10 PBE relaxed; values from VASP
&SYSTEM
  ibrav = 0, nat = 28, ntyp = 3
/
ATOMIC_SPECIES
Nd 144.24 Nd.upf
Al 26.98 Al.upf
Ag 107.87 Ag.upf
ATOMIC_POSITIONS angstrom
Nd 2.6764 1.8925 4.6357
Nd 8.0294 5.6776 13.9072
Al 7.9042 5.5891 9.2715
Al 6.6286 1.9810 11.4810
Al 4.0772 5.5891 11.4810
Al 2.8016 1.9810 9.2715
Al 6.6286 1.9810 7.0620
Al 4.0772 5.5891 7.0620
Ag 0.0000 0.0000 3.2163
Ag 0.9285 2.6261 1.6081
Ag 2.7854 0.0000 1.6082
Ag 6.1724 2.6261 4.6357
Ag 4.1192 2.9127 7.1346
Ag 2.8854 4.6574 9.2715
Ag 5.3529 6.4022 9.2715
Ag 5.2440 0.0000 6.2439
Ag 4.1192 2.9127 11.4084
Ag 7.8204 2.9127 9.2715
Ag 6.5866 4.6574 7.1346
Ag 0.0000 0.0000 6.0552
Ag 4.5334 4.9440 4.6357
Ag 1.7480 4.9440 6.2439
Ag 0.9285 2.6261 7.6633
Ag 5.2440 0.0000 3.0276
Ag 6.5866 4.6574 11.4083
Ag 1.7480 4.9440 3.0276
Ag 5.3529 1.1679 9.2715
Ag 2.7854 0.0000 7.6633
CELL_PARAMETERS angstrom
8.0294 0.0000 4.6357
2.6764 7.5701 4.6357
0.0000 0.0000 9.2715
! - calculated formation energy (meV/atom) = 28.5
! - SG = Fm-3m
! - E_tot (eV/atom) = -3.15



Entry 3:
! Li2AcGa6 PBE relaxed; values from VASP
&SYSTEM
  ibrav = 0, nat = 9, ntyp = 3
/
ATOMIC_SPECIES
Li 6.94 Li.upf
Ac 227.00 Ac.upf
Ga 69.72 Ga.upf
ATOMIC_POSITIONS angstrom
Li 6.4917 5.5799 4.5684
Li 2.1639 3.4968 2.8629
Ac 0.0000 0.0000 0.0000
Ga 6.4917 8.1662 4.8796
Ga 2.1639 0.9106 2.5517
Ga 2.1639 2.6813 0.3890
Ga 4.3278 5.3050 2.7793
Ga 4.3278 3.7718 4.6520
Ga 6.4917 6.3955 7.0424
CELL_PARAMETERS angstrom
4.3278 0.0000 0.0000
2.1639 6.8523 0.8894
2.1639 2.2244 6.5420
! - calculated formation energy (meV/atom) = -343.3
! - SG = Immm
! - E_tot (eV/atom) = -3.24
! - energy above the most stable polymorph in this dataset (meV per atom) = 0.0



Entry 4:
! TbNi6H12 PBE relaxed; values from VASP
&SYSTEM
  ibrav = 0, nat = 19, ntyp = 3
/
ATOMIC_SPECIES
Tb 158.93 Tb.upf
Ni 58.69 Ni.upf
H 1.01 H.upf
ATOMIC_POSITIONS angstrom
Tb 0.0000 0.0000 0.0000
Ni 2.6782 0.6963 0.9806
Ni 0.0107 0.0137 2.9358
Ni 0.0107 2.7672 0.9806
Ni 2.4954 3.2143 1.6102
Ni -0.1721 2.5318 3.5654
Ni 2.4954 0.4608 3.5654
H 3.7539 -0.3275 2.2730
H 2.7263 1.7543 2.4705
H 1.0237 1.3187 3.7184
H 1.4824 0.1520 2.0755
H 1.4824 1.9094 0.8276
H -0.2202 1.4738 2.0755
H -1.2478 0.9741 4.1060
H 1.2530 4.1954 0.4400
H -1.2478 3.5555 2.2730
H 3.7539 2.2539 0.4400
H 1.2530 -0.9673 4.1060
H 1.0237 3.0760 2.4705
CELL_PARAMETERS angstrom
5.3244 -0.0922 -0.1298
-1.4092 5.1354 -0.1298
-1.4092 -1.8151 4.8057
! - SG = R-3m
! - E_tot (eV/atom) = -4.22



Entry 5:
! SiAuS3 PBE relaxed; values from VASP
&SYSTEM
  ibrav = 0, nat = 10, ntyp = 3
/
ATOMIC_SPECIES
Si 28.09 Si.upf
Au 196.97 Au.upf
S 32.06 S.upf
ATOMIC_POSITIONS angstrom
Si 0.0000 3.6098 6.6129
Si 1.6203 0.2358 3.3524
Au 1.6203 0.0873 7.8555
Au 0.0000 3.4613 2.1099
S 1.6203 2.4555 7.8114
S 0.0000 5.8295 2.1540
S 1.6203 1.7699 1.6720
S 0.0000 5.1439 8.2934
S 1.6203 4.1840 5.2338
S 0.0000 0.8100 4.7316
CELL_PARAMETERS angstrom
3.2406 0.0000 0.0000
0.0000 6.7480 0.0000
-1.6203 0.0000 9.9654
! - SG = Cmc2_1
! - E_tot (eV/atom) = -4.37
! - energy above the most stable polymorph in this dataset (meV per atom) = 0.0
! - E_form (uncorrected) (eV/atom) = -0.16



Entry 6:
! ZrInSb2 PBE relaxed; values from VASP
&SYSTEM
  ibrav = 0, nat = 4, ntyp = 3
/
ATOMIC_SPECIES
In 114.82 In.upf
Sb 121.76 Sb.upf
Zr 91.22 Zr.upf
ATOMIC_POSITIONS angstrom
In 1.9559 5.7437 4.8544
Sb 0.0000 3.8837 0.1344
Sb 0.0000 3.8495 3.0957
Zr 1.9559 1.9146 1.6181
CELL_PARAMETERS angstrom
3.9118 0.0000 0.0000
0.0000 3.9040 -0.0061
0.0000 3.7543 6.4787
! - SG = P2/m
! - E_tot (eV/atom) = -5.20
! - E_form (uncorrected) (eV/atom) = -0.31



Entry 7:
! SmHoCdRu PBE relaxed; values from VASP
&SYSTEM
  ibrav = 0, nat = 4, ntyp = 4
/
ATOMIC_SPECIES
Sm 150.36 Sm.upf
Ho 164.93 Ho.upf
Cd 112.41 Cd.upf
Ru 101.07 Ru.upf
ATOMIC_POSITIONS angstrom
Sm 1.7443 1.7443 6.0945
Ho 1.7443 1.7443 2.7552
Cd 0.0000 0.0000 0.6266
Ru 0.0000 0.0000 4.3605
CELL_PARAMETERS angstrom
3.4887 0.0000 0.0000
0.0000 3.4887 0.0000
0.0000 0.0000 7.7530
! - calculated formation energy (meV/atom) = -359.4
! - SG = P4mm
! - E_tot (eV/atom) = -5.23
! - energy above the most stable polymorph in this dataset (meV per atom) = 0.0



Entry 8:
! Ac3La3Nd PBE relaxed; values from VASP
&SYSTEM
  ibrav = 0, nat = 14, ntyp = 3
/
ATOMIC_SPECIES
Ac 227.00 Ac.upf
La 138.91 La.upf
Nd 144.24 Nd.upf
ATOMIC_POSITIONS angstrom
Ac 7.3939 8.3424 11.5209
Ac 9.5363 1.1519 10.2751
Ac 2.7560 3.5779 7.8284
Ac 11.6452 5.9849 9.2230
Ac 4.8649 8.4109 6.7763
Ac 7.0074 1.2205 5.5305
La 5.9753 4.7896 6.1353
La 9.3459 3.6489 7.3721
La 8.2268 7.1981 7.9579
La 6.1745 2.3648 9.0935
La 5.0553 5.9139 9.6793
La 8.4260 4.7733 10.9161
Nd 10.7758 7.1554 12.8416
Nd 3.6255 2.4074 4.2098
CELL_PARAMETERS angstrom
9.1795 0.0000 4.3447
3.5616 8.4604 4.3447
1.6602 1.1024 8.3620
! - calculated formation energy (meV/atom) = 25.8
! - SG = R-3
! - E_tot (eV/atom) = -4.53
! - energy above the most stable polymorph in this dataset (meV per atom) = 0.0